Entry 1:
A relaxed VInAg2Sn crystal. Source: Alexandria via LeMat-Bulk, functional PBE.

POSCAR file:
```
VInAg2Sn
1.0
-1.9653 -3.4648 3.2323
-0.5721 -3.3343 -3.9219
4.7044 -1.8452 0.8825
V Ag Sn In
1 2 1 1
Cartesian
0.0000 0.0000 0.0000
2.3522 -0.9226 0.4412
-0.9826 -1.7324 1.6162
-0.2860 -1.6671 -1.9610
1.0835 -4.3221 0.0964
```

## Properties
raw total energy = -3.53 eV per atom
DFT formation energy = 3.89 eV per formula unit
total moment = 0.59 μB per atom



Entry 2:
A relaxed Ca2Ga12Ni crystal. Source: Alexandria via LeMat-Bulk, functional PBE.

POSCAR file:
```
Ca2Ga12Ni
1.0
6.0245 0.0000 0.0000
0.0000 6.0245 0.0000
0.0000 0.0000 15.8224
Ga Ca Ni
24 4 2
Cartesian
4.9719 1.9596 9.0268
0.0000 0.0000 2.9090
3.0122 3.0122 12.9134
0.0000 0.0000 5.3932
1.5052 1.5071 1.3298
0.0000 0.0000 12.9134
1.0526 1.9596 6.7956
4.0649 4.9719 9.0268
4.5174 4.5193 14.4926
1.5071 1.5052 14.4926
4.9719 4.0649 6.7956
1.5071 4.5193 1.3298
1.9596 4.9719 6.7956
4.5193 4.5174 1.3298
4.0649 1.0526 6.7956
0.0000 0.0000 10.4292
1.5052 4.5174 14.4926
1.9596 1.0526 9.0268
1.0526 4.0649 9.0268
4.5174 1.5052 1.3298
3.0122 3.0122 10.4292
3.0122 3.0122 2.9090
3.0122 3.0122 5.3932
4.5193 1.5071 14.4926
3.0122 0.0000 11.9321
0.0000 3.0122 11.9321
3.0122 0.0000 3.8903
0.0000 3.0122 3.8903
0.0000 3.0122 0.0000
3.0122 0.0000 0.0000
```

## Properties
raw total energy = -3.39 eV per atom
DFT formation energy = -4.75 eV per formula unit
total moment = 0.00 μB per atom



Entry 3:
A relaxed Rb2GaNCl6 crystal. Source: Alexandria via LeMat-Bulk, functional PBE.

POSCAR file:
```
Rb2GaNCl6
1.0
7.7754 0.0000 0.0000
0.0000 7.7754 0.0000
3.8877 3.8877 4.5469
Rb Cl N Ga
2 6 1 1
Cartesian
7.7754 3.8877 2.2735
3.8877 7.7754 2.2735
7.7754 7.7754 2.5221
3.8877 3.8877 2.0248
6.1185 6.1185 0.0000
1.6569 6.1185 0.0000
1.6569 1.6569 0.0000
6.1185 1.6569 0.0000
3.8877 3.8877 0.0000
0.0000 0.0000 0.0000
```

## Properties
raw total energy = -3.21 eV per atom
uncorrected formation energy = -774 meV/atom
total moment = 0.20 μB per atom



Entry 4:
A relaxed Ho4SnPbSe2 crystal. Source: Alexandria via LeMat-Bulk, functional PBE.

POSCAR file:
```
Ho4SnPbSe2
1.0
-2.1230 -3.4423 1.1995
2.6406 0.7816 6.9167
-4.5817 4.1632 3.8384
Pb Ho Se Sn
1 4 2 1
Cartesian
0.2588 -1.3304 4.0581
-2.6641 -2.1917 3.8306
-1.4000 3.6942 8.1240
-3.8615 1.5896 5.1451
-0.2026 -0.0871 6.8095
-4.5817 4.1632 3.8384
-3.3523 0.3604 2.5189
-0.9706 2.4724 5.3775
```

## Properties
raw total energy = -5.26 eV per atom
uncorrected formation energy = -1135 meV/atom
total moment = 0.00 μB per atom